A relaxed Li24MnCr11O36 crystal. Source: the Alexandria database, functional PBE+U. Values from VASP.

Computed properties:
VASP energy: -6.257 eV/atom
total magnetic moment: 25.00 μB/f.u.
symmetry: No. 5
volume: 8.798 Å³ per atom

Quantum ESPRESSO input file:
```
&SYSTEM
  ibrav = 0, nat = 72, ntyp = 4
/
ATOMIC_SPECIES
Li 6.94 Li.upf
Mn 54.94 Mn.upf
Cr 52.00 Cr.upf
O 16.00 O.upf
CELL_PARAMETERS angstrom
7.6330 -4.3165 0.0000
7.6330 4.3165 0.0000
-1.4964 0.0000 9.6129
ATOMIC_POSITIONS crystal
Li 0.0000 0.0000 0.0000
Li 0.0764 0.7562 0.7499
Li 0.0849 0.0807 0.7509
Li 0.0938 0.4061 0.7502
Li 0.1684 0.1646 0.4994
Li 0.2438 0.9236 0.2501
Li 0.2515 0.2483 0.2500
Li 0.2612 0.5717 0.2508
Li 0.3350 0.3316 0.0004
Li 0.4078 0.0883 0.7479
Li 0.4185 0.4154 0.7499
Li 0.4283 0.7388 0.7492
Li 0.5025 0.4975 0.5000
Li 0.5797 0.2540 0.2486
Li 0.5846 0.5815 0.2501
Li 0.5939 0.9062 0.2498
Li 0.6684 0.6650 0.9996
Li 0.7460 0.4203 0.7514
Li 0.7517 0.7485 0.7500
Li 0.7629 0.0752 0.7521
Li 0.8354 0.8316 0.5006
Li 0.9117 0.5922 0.2521
Li 0.9193 0.9151 0.2491
Li 0.9248 0.2371 0.2479
Mn 0.6696 0.3304 0.0000
Cr 0.0065 0.6588 0.0005
Cr 0.1641 0.5024 0.5003
Cr 0.1737 0.8263 0.5000
Cr 0.3290 0.6710 0.0000
Cr 0.3412 0.9935 0.9995
Cr 0.4976 0.8359 0.4997
Cr 0.5071 0.1599 0.4999
Cr 0.6665 0.0033 0.0010
Cr 0.8309 0.1691 0.5000
Cr 0.8401 0.4929 0.5001
Cr 0.9967 0.3335 0.9990
O 0.0329 0.3921 0.3869
O 0.0374 0.0326 0.3864
O 0.0627 0.6955 0.3872
O 0.1071 0.4663 0.1131
O 0.1343 0.1303 0.1137
O 0.1381 0.7695 0.1135
O 0.1992 0.5587 0.8872
O 0.2040 0.1999 0.8860
O 0.2305 0.8619 0.8865
O 0.2753 0.6332 0.6130
O 0.3004 0.2961 0.6139
O 0.3045 0.9373 0.6128
O 0.3668 0.7247 0.3870
O 0.3705 0.3661 0.3866
O 0.3958 0.0291 0.3870
O 0.4413 0.8008 0.1128
O 0.4673 0.4622 0.1135
O 0.4719 0.1039 0.1128
O 0.5337 0.8929 0.8869
O 0.5378 0.5327 0.8865
O 0.5637 0.2005 0.8895
O 0.6079 0.9671 0.6131
O 0.6339 0.6295 0.6134
O 0.6378 0.2707 0.6128
O 0.7002 0.0578 0.3874
O 0.7039 0.6996 0.3861
O 0.7293 0.3622 0.3872
O 0.7787 0.1303 0.1134
O 0.7995 0.4363 0.1105
O 0.8001 0.7960 0.1140
O 0.8697 0.2213 0.8866
O 0.8697 0.8657 0.8863
O 0.8961 0.5281 0.8872
O 0.9422 0.2998 0.6126
O 0.9674 0.9626 0.6136
O 0.9709 0.6042 0.6130
```